Entry 1:
{
  "formula": "AlGaTe2",
  "functional": "meta-GGA SCAN",
  "state": "single point on PBEsol structure",
  "cell": [[-3.733, 3.733, 4.256], [3.733, -3.733, 4.256], [3.733, 3.733, -4.256]],
  "species": ["Al", "Al", "Ga", "Ga", "Te", "Te", "Te", "Te"],
  "frac_coords": [[0.000, 0.000, 0.000], [0.750, 0.250, 0.500], [0.250, 0.750, 0.500], [0.500, 0.500, 0.000], [0.077, 0.625, 0.952], [0.375, 0.327, 0.452], [0.673, 0.125, 0.048], [0.875, 0.923, 0.548]],
  "total_magnetization_mub_per_fu": 0.000,
  "formation_energy_uncorrected_ev_per_atom": -0.22,
  "energy_ev_per_atom": -24.87
}

=====

Entry 2:
{
  "formula": "Ti2AlGa2",
  "functional": "meta-GGA SCAN",
  "state": "single point on PBEsol structure",
  "cell": [[6.513, 0.000, 0.000], [0.000, 6.513, 0.000], [0.000, 0.000, 3.698]],
  "species": ["Ti", "Ti", "Ti", "Ti", "Al", "Al", "Ga", "Ga", "Ga", "Ga"],
  "frac_coords": [[0.173, 0.327, 0.000], [0.327, 0.827, 0.000], [0.673, 0.173, 0.000], [0.827, 0.673, 0.000], [0.000, 0.000, 0.500], [0.500, 0.500, 0.500], [0.130, 0.630, 0.500], [0.370, 0.130, 0.500], [0.630, 0.870, 0.500], [0.870, 0.370, 0.500]],
  "total_magnetization_mub_per_fu": 0.000,
  "energy_ev_per_atom": -14.98
}

=====

Entry 3:
{
  "formula": "Ti2AlZnGa",
  "functional": "meta-GGA SCAN",
  "state": "single point on PBEsol structure",
  "cell": [[4.643, 0.000, 0.000], [0.000, 4.643, 0.000], [0.000, 0.000, 4.386]],
  "species": ["Ti", "Ti", "Al", "Zn", "Ga"],
  "frac_coords": [[0.000, 0.500, 0.000], [0.500, 0.000, 0.000], [0.000, 0.000, 0.500], [0.000, 0.000, 0.000], [0.500, 0.500, 0.500]],
  "total_magnetization_mub_per_fu": 0.000,
  "energy_ev_per_atom": -13.51
}

=====

Entry 4:
{
  "formula": "AlTlGa2",
  "functional": "meta-GGA SCAN",
  "state": "single point on PBEsol structure",
  "cell": [[0.000, 3.457, 3.457], [3.457, 0.000, 3.457], [3.457, 3.457, 0.000]],
  "species": ["Al", "Tl", "Ga", "Ga"],
  "frac_coords": [[0.000, 0.000, 0.000], [0.500, 0.500, 0.500], [0.250, 0.250, 0.250], [0.750, 0.750, 0.750]],
  "total_magnetization_mub_per_fu": 0.000,
  "energy_ev_per_atom": -27.92
}

=====

Entry 5:
{
  "formula": "Al2TlGa2",
  "functional": "meta-GGA SCAN",
  "state": "single point on PBEsol structure",
  "cell": [[-2.118, 2.118, 5.636], [2.118, -2.118, 5.636], [2.118, 2.118, -5.636]],
  "species": ["Al", "Al", "Tl", "Ga", "Ga"],
  "frac_coords": [[0.250, 0.750, 0.500], [0.750, 0.250, 0.500], [0.000, 0.000, 0.000], [0.390, 0.390, 0.000], [0.610, 0.610, 0.000]],
  "total_magnetization_mub_per_fu": 0.011,
  "energy_ev_per_atom": -24.04
}

=====

Entry 6:
{
  "formula": "TmAlGa",
  "functional": "meta-GGA SCAN",
  "state": "single point on PBEsol structure",
  "cell": [[4.394, 0.000, 0.000], [-2.197, 3.805, 0.000], [0.000, 0.000, 3.419]],
  "species": ["Tm", "Al", "Ga"],
  "frac_coords": [[0.000, 0.000, 0.000], [0.667, 0.333, 0.500], [0.333, 0.667, 0.500]],
  "total_magnetization_mub_per_fu": 0.000,
  "energy_ev_per_atom": -25.94
}

=====

Entry 7:
{
  "formula": "TmAlGa",
  "functional": "meta-GGA SCAN",
  "state": "single point on PBEsol structure",
  "cell": [[5.190, -2.108, 0.000], [5.190, 2.108, 0.000], [-4.326, 0.000, 5.298]],
  "species": ["Tm", "Tm", "Al", "Al", "Ga", "Ga"],
  "frac_coords": [[0.058, 0.058, 0.312], [0.942, 0.942, 0.688], [0.336, 0.336, 0.899], [0.664, 0.664, 0.101], [0.340, 0.340, 0.300], [0.660, 0.660, 0.700]],
  "total_magnetization_mub_per_fu": 0.000,
  "energy_ev_per_atom": -25.94
}

=====

Entry 8:
{
  "formula": "AlZnGa2",
  "functional": "meta-GGA SCAN",
  "state": "single point on PBEsol structure",
  "cell": [[0.000, 3.231, 3.231], [3.231, 0.000, 3.231], [3.231, 3.231, 0.000]],
  "species": ["Al", "Zn", "Ga", "Ga"],
  "frac_coords": [[0.000, 0.000, 0.000], [0.500, 0.500, 0.500], [0.250, 0.250, 0.250], [0.750, 0.750, 0.750]],
  "total_magnetization_mub_per_fu": 0.000,
  "energy_ev_per_atom": -13.35
}

=====

Entry 9:
{
  "formula": "Zr2AlGa2",
  "functional": "meta-GGA SCAN",
  "state": "single point on PBEsol structure",
  "cell": [[-2.141, 2.141, 5.669], [2.141, -2.141, 5.669], [2.141, 2.141, -5.669]],
  "species": ["Zr", "Zr", "Al", "Ga", "Ga"],
  "frac_coords": [[0.250, 0.750, 0.500], [0.750, 0.250, 0.500], [0.000, 0.000, 0.000], [0.399, 0.399, 0.000], [0.601, 0.601, 0.000]],
  "total_magnetization_mub_per_fu": 0.000,
  "energy_ev_per_atom": -20.33
}

=====

Entry 10:
{
  "formula": "ZrAlGa3",
  "functional": "meta-GGA SCAN",
  "state": "single point on PBEsol structure",
  "cell": [[5.168, 0.000, 0.000], [0.000, 5.168, 0.000], [0.000, 0.000, 5.168]],
  "species": ["Zr", "Al", "Ga", "Ga", "Ga"],
  "frac_coords": [[0.000, 0.000, 0.000], [0.500, 0.500, 0.500], [0.000, 0.000, 0.500], [0.000, 0.500, 0.000], [0.500, 0.000, 0.000]],
  "total_magnetization_mub_per_fu": 0.000,
  "energy_ev_per_atom": -16.73
}

=====

Entry 11:
{
  "formula": "Zr2AlGa2",
  "functional": "meta-GGA SCAN",
  "state": "single point on PBEsol structure",
  "cell": [[6.680, 0.000, 0.000], [0.000, 6.680, 0.000], [0.000, 0.000, 4.005]],
  "species": ["Zr", "Zr", "Zr", "Zr", "Al", "Al", "Ga", "Ga", "Ga", "Ga"],
  "frac_coords": [[0.176, 0.324, 0.000], [0.324, 0.824, 0.000], [0.676, 0.176, 0.000], [0.824, 0.676, 0.000], [0.000, 0.000, 0.500], [0.500, 0.500, 0.500], [0.128, 0.628, 0.500], [0.372, 0.128, 0.500], [0.628, 0.872, 0.500], [0.872, 0.372, 0.500]],
  "total_magnetization_mub_per_fu": 0.000,
  "energy_ev_per_atom": -21.05
}

=====

Entry 12:
{
  "formula": "GdAl2",
  "functional": "meta-GGA SCAN",
  "state": "single point on PBEsol structure",
  "cell": [[0.000, 3.914, 3.914], [3.914, 0.000, 3.914], [3.914, 3.914, 0.000]],
  "species": ["Gd", "Gd", "Al", "Al", "Al", "Al"],
  "frac_coords": [[0.125, 0.125, 0.125], [0.875, 0.875, 0.875], [0.000, 0.500, 0.500], [0.500, 0.000, 0.500], [0.500, 0.500, 0.000], [0.500, 0.500, 0.500]],
  "total_magnetization_mub_per_fu": 7.695,
  "energy_ev_per_atom": -25.33
}

=====

Entry 13:
{
  "formula": "GdAl",
  "functional": "meta-GGA SCAN",
  "state": "single point on PBEsol structure",
  "cell": [[1.829, -5.869, 0.000], [1.829, 5.869, 0.000], [0.000, 0.000, 4.475]],
  "species": ["Gd", "Gd", "Al", "Al"],
  "frac_coords": [[0.157, 0.843, 0.750], [0.843, 0.157, 0.250], [0.435, 0.565, 0.750], [0.565, 0.435, 0.250]],
  "total_magnetization_mub_per_fu": 8.081,
  "energy_ev_per_atom": -33.73
}

=====

Entry 14:
{
  "formula": "Gd3Al",
  "functional": "meta-GGA SCAN",
  "state": "single point on PBEsol structure",
  "cell": [[4.708, 0.000, 0.000], [0.000, 4.708, 0.000], [0.000, 0.000, 4.708]],
  "species": ["Gd", "Gd", "Gd", "Al"],
  "frac_coords": [[0.000, 0.000, 0.500], [0.000, 0.500, 0.000], [0.500, 0.000, 0.000], [0.500, 0.500, 0.500]],
  "total_magnetization_mub_per_fu": 23.466,
  "energy_ev_per_atom": -46.31
}

=====

Entry 15:
{
  "formula": "GdAl",
  "functional": "meta-GGA SCAN",
  "state": "single point on PBEsol structure",
  "cell": [[3.580, 0.000, 0.000], [0.000, 3.580, 0.000], [0.000, 0.000, 3.580]],
  "species": ["Gd", "Al"],
  "frac_coords": [[0.000, 0.000, 0.000], [0.500, 0.500, 0.500]],
  "total_magnetization_mub_per_fu": 7.253,
  "energy_ev_per_atom": -33.64
}

=====

Entry 16:
{
  "formula": "GdAlGe",
  "functional": "meta-GGA SCAN",
  "state": "single point on PBEsol structure",
  "cell": [[-2.062, 2.062, 7.295], [2.062, -2.062, 7.295], [2.062, 2.062, -7.295]],
  "species": ["Gd", "Gd", "Al", "Al", "Ge", "Ge"],
  "frac_coords": [[0.000, 0.000, 0.000], [0.750, 0.250, 0.500], [0.166, 0.666, 0.500], [0.416, 0.416, 0.000], [0.331, 0.831, 0.500], [0.581, 0.581, 0.000]],
  "total_magnetization_mub_per_fu": 7.056,
  "energy_ev_per_atom": -29.20
}

=====

Entry 17:
{
  "formula": "Gd2Al3Ge4",
  "functional": "meta-GGA SCAN",
  "state": "single point on PBEsol structure",
  "cell": [[2.942, -7.355, 0.000], [2.942, 7.355, 0.000], [0.000, 0.000, 7.867]],
  "species": ["Gd", "Gd", "Gd", "Gd", "Al", "Al", "Al", "Al", "Al", "Al", "Ge", "Ge", "Ge", "Ge", "Ge", "Ge", "Ge", "Ge"],
  "frac_coords": [[0.115, 0.885, 0.920], [0.385, 0.615, 0.420], [0.615, 0.385, 0.580], [0.885, 0.115, 0.080], [0.000, 0.000, 0.500], [0.034, 0.466, 0.750], [0.466, 0.034, 0.250], [0.500, 0.500, 0.000], [0.534, 0.966, 0.750], [0.966, 0.534, 0.250], [0.184, 0.816, 0.552], [0.204, 0.296, 0.750], [0.296, 0.204, 0.250], [0.316, 0.684, 0.052], [0.684, 0.316, 0.948], [0.704, 0.796, 0.750], [0.796, 0.704, 0.250], [0.816, 0.184, 0.448]],
  "total_magnetization_mub_per_fu": 14.548,
  "energy_ev_per_atom": -24.62
}

=====

Entry 18:
{
  "formula": "GdAlGe",
  "functional": "meta-GGA SCAN",
  "state": "single point on PBEsol structure",
  "cell": [[2.020, -5.197, 0.000], [2.020, 5.197, 0.000], [0.000, 0.000, 5.752]],
  "species": ["Gd", "Gd", "Al", "Al", "Ge", "Ge"],
  "frac_coords": [[0.190, 0.810, 0.750], [0.810, 0.190, 0.250], [0.500, 0.500, 0.000], [0.500, 0.500, 0.500], [0.105, 0.895, 0.250], [0.895, 0.105, 0.750]],
  "total_magnetization_mub_per_fu": 7.122,
  "energy_ev_per_atom": -29.22
}

=====

Entry 19:
{
  "formula": "LaGdAl4",
  "functional": "meta-GGA SCAN",
  "state": "single point on PBEsol structure",
  "cell": [[0.000, 3.975, 3.975], [3.975, 0.000, 3.975], [3.975, 3.975, 0.000]],
  "species": ["La", "Gd", "Al", "Al", "Al", "Al"],
  "frac_coords": [[0.000, 0.000, 0.000], [0.250, 0.250, 0.250], [0.125, 0.625, 0.625], [0.625, 0.125, 0.625], [0.625, 0.625, 0.125], [0.625, 0.625, 0.625]],
  "total_magnetization_mub_per_fu": 7.949,
  "energy_ev_per_atom": -22.68
}

=====

Entry 20:
{
  "formula": "LiGd2Al",
  "functional": "meta-GGA SCAN",
  "state": "single point on PBEsol structure",
  "cell": [[0.000, 3.631, 3.631], [3.631, 0.000, 3.631], [3.631, 3.631, 0.000]],
  "species": ["Li", "Gd", "Gd", "Al"],
  "frac_coords": [[0.000, 0.000, 0.000], [0.250, 0.250, 0.250], [0.750, 0.750, 0.750], [0.500, 0.500, 0.500]],
  "total_magnetization_mub_per_fu": 15.635,
  "energy_ev_per_atom": -32.15
}

=====

Entry 21:
{
  "formula": "GdAlNi",
  "functional": "meta-GGA SCAN",
  "state": "single point on PBEsol structure",
  "cell": [[6.875, 0.000, 0.000], [-3.437, 5.954, 0.000], [0.000, 0.000, 3.903]],
  "species": ["Gd", "Gd", "Gd", "Al", "Al", "Al", "Ni", "Ni", "Ni"],
  "frac_coords": [[0.000, 0.581, 0.000], [0.419, 0.419, 0.000], [0.581, 0.000, 0.000], [0.000, 0.234, 0.500], [0.234, 0.000, 0.500], [0.766, 0.766, 0.500], [0.000, 0.000, 0.000], [0.333, 0.667, 0.500], [0.667, 0.333, 0.500]],
  "total_magnetization_mub_per_fu": 7.402,
  "energy_ev_per_atom": -28.15
}

=====

Entry 22:
{
  "formula": "GdAl2Ni",
  "functional": "meta-GGA SCAN",
  "state": "single point on PBEsol structure",
  "cell": [[2.024, -5.047, 0.000], [2.024, 5.047, 0.000], [0.000, 0.000, 6.854]],
  "species": ["Gd", "Gd", "Al", "Al", "Al", "Al", "Ni", "Ni"],
  "frac_coords": [[0.060, 0.940, 0.750], [0.940, 0.060, 0.250], [0.342, 0.658, 0.555], [0.342, 0.658, 0.945], [0.658, 0.342, 0.055], [0.658, 0.342, 0.445], [0.216, 0.784, 0.250], [0.784, 0.216, 0.750]],
  "total_magnetization_mub_per_fu": 7.455,
  "energy_ev_per_atom": -23.28
}

=====

Entry 23:
{
  "formula": "GdAl9Ni3",
  "functional": "meta-GGA SCAN",
  "state": "single point on PBEsol structure",
  "cell": [[3.618, 2.089, 9.085], [-3.618, 2.089, 9.085], [0.000, -4.178, 9.085]],
  "species": ["Gd", "Gd", "Al", "Al", "Al", "Al", "Al", "Al", "Al", "Al", "Al", "Al", "Al", "Al", "Al", "Al", "Al", "Al", "Al", "Al", "Ni", "Ni", "Ni", "Ni", "Ni", "Ni"],
  "frac_coords": [[0.167, 0.167, 0.167], [0.833, 0.833, 0.833], [0.000, 0.666, 0.334], [0.052, 0.052, 0.052], [0.102, 0.432, 0.762], [0.238, 0.568, 0.898], [0.282, 0.282, 0.282], [0.291, 0.709, 0.500], [0.334, 0.000, 0.666], [0.387, 0.387, 0.387], [0.432, 0.762, 0.102], [0.500, 0.291, 0.709], [0.568, 0.898, 0.238], [0.613, 0.613, 0.613], [0.666, 0.334, 0.000], [0.709, 0.500, 0.291], [0.718, 0.718, 0.718], [0.762, 0.102, 0.432], [0.898, 0.238, 0.568], [0.948, 0.948, 0.948], [0.079, 0.758, 0.418], [0.242, 0.921, 0.582], [0.418, 0.079, 0.758], [0.582, 0.242, 0.921], [0.758, 0.418, 0.079], [0.921, 0.582, 0.242]],
  "total_magnetization_mub_per_fu": 7.176,
  "energy_ev_per_atom": -14.19
}

=====

Entry 24:
{
  "formula": "Gd2AlNi2",
  "functional": "meta-GGA SCAN",
  "state": "single point on PBEsol structure",
  "cell": [[-2.084, 2.658, 4.129], [2.084, -2.658, 4.129], [2.084, 2.658, -4.129]],
  "species": ["Gd", "Gd", "Al", "Ni", "Ni"],
  "frac_coords": [[0.203, 0.203, 0.000], [0.797, 0.797, 0.000], [0.500, 0.000, 0.500], [0.236, 0.500, 0.736], [0.764, 0.500, 0.264]],
  "total_magnetization_mub_per_fu": 14.709,
  "energy_ev_per_atom": -32.04
}

=====

Entry 25:
{
  "formula": "GdAlNi4",
  "functional": "meta-GGA SCAN",
  "state": "single point on PBEsol structure",
  "cell": [[2.476, -4.174, 0.000], [2.476, 4.174, 0.000], [0.000, 0.000, 3.975]],
  "species": ["Gd", "Al", "Ni", "Ni", "Ni", "Ni"],
  "frac_coords": [[0.000, 0.000, 0.000], [0.500, 0.500, 0.500], [0.000, 0.500, 0.500], [0.330, 0.670, 0.000], [0.500, 0.000, 0.500], [0.670, 0.330, 0.000]],
  "total_magnetization_mub_per_fu": 7.066,
  "energy_ev_per_atom": -22.38
}

=====

Entry 26:
{
  "formula": "GdAlO3",
  "functional": "meta-GGA SCAN",
  "state": "single point on PBEsol structure",
  "cell": [[3.698, 0.000, 0.000], [0.000, 3.698, 0.000], [0.000, 0.000, 3.698]],
  "species": ["Gd", "Al", "O", "O", "O"],
  "frac_coords": [[0.000, 0.000, 0.000], [0.500, 0.500, 0.500], [0.000, 0.500, 0.500], [0.500, 0.000, 0.500], [0.500, 0.500, 0.000]],
  "total_magnetization_mub_per_fu": 6.999,
  "formation_energy_uncorrected_ev_per_atom": -3.54,
  "energy_ev_per_atom": -20.59
}